Record 1
# PdPt14Rh

An optimized crystal structure of PdPt14Rh (PBE-GGA, Alexandria).

## Properties
Energy of formation from the pure elements (meV per atom): 17

Cell and atoms, written as POSCAR:
```
PdPt14Rh
1.0
-3.1755 2.3658 3.9201
0.1513 -5.5482 -0.4924
7.1098 -0.3352 5.9617
Pt Pd Rh
14 1 1
direct
0.8741 0.6245 0.2522
0.7088 0.2912 0.0000
0.2089 0.7911 0.0000
0.3756 0.6244 0.2529
0.8751 0.1249 0.7492
0.0409 0.4590 0.5000
0.3755 0.1259 0.2522
0.8751 0.1249 0.2508
0.3756 0.6244 0.7471
0.5410 0.9591 0.5000
0.8741 0.6245 0.7478
0.2090 0.2912 0.0000
0.3755 0.1259 0.7478
0.7088 0.7910 0.0000
0.0409 0.9591 0.5000
0.5413 0.4587 0.5000
```

---

Record 2
# Pd6PtRh2

An optimized crystal structure of Pd6PtRh2 (PBE-GGA, Alexandria).

## Properties
Energy of formation from the pure elements (meV per atom): 106

Cell and atoms, written as POSCAR:
```
Pd6PtRh2
1.0
4.6901 0.0000 0.0000
-2.3451 3.6320 0.0160
0.0000 -1.4031 8.0662
Pd Rh Pt
6 2 1
direct
0.9979 0.9958 0.1639
0.6640 0.3279 0.2771
0.6679 0.3359 0.6140
0.3321 0.6641 0.3860
0.0021 0.0042 0.8361
0.3360 0.6721 0.7229
0.3342 0.6684 0.0490
0.6658 0.3316 0.9510
0.0000 0.0000 0.5000
```

---

Record 3
# Pd4Pt3Rh2

An optimized crystal structure of Pd4Pt3Rh2 (PBE-GGA, Alexandria).

## Properties
Energy of formation from the pure elements (meV per atom): 150
Polymorph energy (0 for the lowest one) (eV per atom): 0.0000

Cell and atoms, written as POSCAR:
```
Pd4Pt3Rh2
1.0
4.9086 0.0440 0.3130
0.3530 7.5252 1.2244
0.0192 -0.6417 7.6052
Rh Pd Pt
4 8 6
direct
0.4363 0.7739 0.6452
0.9363 0.6452 0.7739
0.0637 0.3548 0.2261
0.5637 0.2261 0.3548
0.5852 0.1084 0.6918
0.4092 0.4704 0.8386
0.9148 0.3082 0.8916
0.9092 0.8386 0.4704
0.0908 0.1614 0.5296
0.5908 0.5296 0.1614
0.4148 0.8916 0.3082
0.0852 0.6918 0.1084
0.0871 0.9642 0.8356
0.4129 0.1644 0.0358
0.5871 0.8356 0.9642
0.9129 0.0358 0.1644
0.2500 0.5349 0.4651
0.7500 0.4651 0.5349
```

---

Record 4
# Pd2Pt2Rh

An optimized crystal structure of Pd2Pt2Rh (PBE-GGA, Alexandria).

## Properties
Energy of formation from the pure elements (meV per atom): 296
Polymorph energy (0 for the lowest one) (eV per atom): 0.2950

Cell and atoms, written as POSCAR:
```
Pd2Pt2Rh
1.0
-0.5238 2.6960 -6.1120
-1.3316 -6.0498 -2.5545
-3.6089 0.5595 0.5561
Pt Pd Rh
4 4 2
direct
0.3600 0.8600 0.0000
0.8600 0.6400 0.0000
0.1400 0.3600 0.0000
0.6400 0.1400 0.0000
0.3396 0.1604 0.5000
0.8396 0.3396 0.5000
0.1604 0.6604 0.5000
0.6604 0.8396 0.5000
0.0000 0.0000 0.0000
0.5000 0.5000 0.0000
```

---

Record 5
# Pd2Pt4Rh

An optimized crystal structure of Pd2Pt4Rh (PBE-GGA, Alexandria).

## Properties
Energy of formation from the pure elements (meV per atom): 265
Polymorph energy (0 for the lowest one) (eV per atom): 0.1556

Cell and atoms, written as POSCAR:
```
Pd2Pt4Rh
1.0
-6.4422 -1.6142 0.8397
2.2223 -2.7276 -5.6951
3.6424 -2.3224 5.1139
Rh Pt Pd
2 8 4
direct
0.7500 0.5000 0.2500
0.0000 0.0000 0.0000
0.7959 0.2501 0.8839
0.2958 0.2499 0.8838
0.6339 0.7501 0.0459
0.1161 0.9120 0.3662
0.4542 0.0880 0.2041
0.9541 0.5880 0.7042
0.1162 0.4120 0.3661
0.6338 0.7499 0.5458
0.4946 0.3696 0.6250
0.2554 0.6304 0.1250
0.3750 0.8696 0.7446
0.8750 0.1304 0.5054
```

---

Record 6
# Pd2PtRh

An optimized crystal structure of Pd2PtRh (PBE-GGA, Alexandria).

## Properties
Energy of formation from the pure elements (meV per atom): 28
Polymorph energy (0 for the lowest one) (eV per atom): 0.0039

Cell and atoms, written as POSCAR:
```
Pd2PtRh
1.0
-1.4821 -3.1514 1.7673
3.4645 -0.6536 1.7399
-1.1083 2.2282 3.0437
Pd Pt Rh
2 1 1
direct
0.0000 0.0000 0.5000
0.0000 0.5000 0.0000
0.5000 0.5000 0.5000
0.5000 0.0000 0.0000
```

---

Record 7
# Pd2Pt2Rh

An optimized crystal structure of Pd2Pt2Rh (PBE-GGA, Alexandria).

## Properties
Energy of formation from the pure elements (meV per atom): 1
Polymorph energy (0 for the lowest one) (eV per atom): 0.0000

Cell and atoms, written as POSCAR:
```
Pd2Pt2Rh
1.0
-2.6427 -0.7383 0.4283
-0.7212 -2.6810 -0.0679
0.9270 -1.9742 11.3199
Pt Rh Pd
2 1 2
direct
0.3987 0.3987 0.8039
0.6013 0.6013 0.1961
0.0000 0.0000 0.0000
0.8666 0.8666 0.4002
0.1334 0.1334 0.5998
```

---

Record 8
# PdPtRh3

An optimized crystal structure of PdPtRh3 (PBE-GGA, Alexandria).

## Properties
Energy of formation from the pure elements (meV per atom): 1533
Polymorph energy (0 for the lowest one) (eV per atom): 1.5104

Cell and atoms, written as POSCAR:
```
PdPtRh3
1.0
-2.0605 -2.4393 3.5171
1.6625 -4.0531 -1.8370
3.9441 0.4341 2.6117
Pd Rh Pt
1 3 1
direct
0.5000 0.5000 0.5000
0.0000 0.0000 0.5000
0.0000 0.5000 0.0000
0.5000 0.0000 0.0000
0.0000 0.0000 0.0000
```

---

no.,calculated density (Mg/m³)
1,19.565
2,12.552
3,14.201
4,14.135
5,15.765
6,14.052
7,15.373
8,9.453